(1)
Compound: Sr2TlSi
Source: the Alexandria database
Functional: PBEsol
Structure: optimized geometry

As for the symmetry: Amm2, No. 38. The calculation puts the mass density at 5.48 g/cm³. The value obtained for the electronic total energy is -3.432 eV/atom. Its density of states at the Fermi level is 1.26 states/eV per cell.

Lattice parameters (Å, degrees): 4.435 4.705 6.369 111.68 90.00 90.00
Positions (direct):
Tl (0.000, 0.695, 0.390)
Si (0.500, 0.551, 0.102)
Sr (0.500, 0.267, 0.534)
Sr (0.000, 0.987, 0.974)

(2)
Compound: SrTl2Si
Source: the Alexandria database
Functional: PBEsol
Structure: optimized geometry

As for the symmetry: P4/mmm, No. 123. The calculation puts the mass density at 8.47 g/cm³. The value obtained for the electronic total energy is -3.310 eV/atom. Its density of states at the Fermi level is 2.37 states/eV per cell.

Lattice parameters (Å, degrees): 4.588 4.588 4.882 90.00 90.00 90.00
Positions (direct):
Sr (0.000, 0.000, 0.500)
Tl (0.000, 0.500, 0.000)
Si (0.500, 0.500, 0.500)
Tl (0.500, 0.000, 0.000)

(3)
Compound: SrTlSi4
Source: the Alexandria database
Functional: PBEsol
Structure: optimized geometry

As for the symmetry: F-43m, No. 216. The calculation puts the mass density at 5.83 g/cm³. The value obtained for the electronic total energy is -4.564 eV/atom. Its density of states at the Fermi level is 2.29 states/eV per cell.

Lattice parameters (Å, degrees): 5.460 5.460 5.460 60.00 60.00 60.00
Positions (direct):
Si (0.872, 0.376, 0.376)
Si (0.376, 0.872, 0.376)
Si (0.376, 0.376, 0.872)
Sr (0.750, 0.750, 0.750)
Tl (0.000, 0.000, 0.000)
Si (0.376, 0.376, 0.376)

(4)
Compound: SrSi2W
Source: the Alexandria database
Functional: PBEsol
Structure: optimized geometry

As for the symmetry: Cm, No. 8. The calculation puts the mass density at 6.52 g/cm³. The value obtained for the electronic total energy is -6.767 eV/atom. Its density of states at the Fermi level is 3.48 states/eV per cell.

Lattice parameters (Å, degrees): 3.263 4.479 6.385 78.86 75.19 68.64
Positions (direct):
Sr (0.460, 0.563, 0.516)
Si (0.028, 0.086, 0.858)
W (0.682, 0.649, 0.988)
Si (0.330, 0.202, 0.138)

(5)
Compound: SrSi2W
Source: the Alexandria database
Functional: PBEsol
Structure: optimized geometry

As for the symmetry: I4/mmm, No. 139. The calculation puts the mass density at 7.65 g/cm³. The value obtained for the electronic total energy is -6.301 eV/atom. Its density of states at the Fermi level is 4.36 states/eV per cell.

Lattice parameters (Å, degrees): 4.454 4.771 4.454 62.18 90.00 117.82
Positions (direct):
Sr (0.500, 0.000, 0.500)
Si (0.750, 0.500, 0.750)
W (0.000, 0.000, 0.000)
Si (0.250, 0.500, 0.250)

(6)
Compound: SrSi2W
Source: the Alexandria database
Functional: PBEsol
Structure: optimized geometry

As for the symmetry: F-43m, No. 216. The calculation puts the mass density at 7.75 g/cm³. The value obtained for the electronic total energy is -5.841 eV/atom. Its density of states at the Fermi level is 4.04 states/eV per cell.

Lattice parameters (Å, degrees): 4.630 4.630 4.630 60.00 60.00 60.00
Positions (direct):
Sr (0.500, 0.500, 0.500)
Si (0.750, 0.750, 0.750)
Si (0.000, 0.000, 0.000)
W (0.250, 0.250, 0.250)

(7)
Compound: SrSiW2
Source: the Alexandria database
Functional: PBEsol
Structure: optimized geometry

As for the symmetry: Immm, No. 71. The calculation puts the mass density at 10.89 g/cm³. The value obtained for the electronic total energy is -8.214 eV/atom. Its density of states at the Fermi level is 2.17 states/eV per cell.

Lattice parameters (Å, degrees): 2.679 5.114 6.107 114.75 102.67 90.00
Positions (direct):
W (0.795, 0.795, 0.591)
Sr (0.000, 0.500, 0.000)
W (0.205, 0.205, 0.409)
Si (0.500, 0.000, 0.000)

(8)
Compound: SrSi2W
Source: the Alexandria database
Functional: PBEsol
Structure: optimized geometry

As for the symmetry: I4_1/amd, No. 141. The calculation puts the mass density at 5.26 g/cm³. The value obtained for the electronic total energy is -6.550 eV/atom. Its density of states at the Fermi level is 5.98 states/eV per cell.

Lattice parameters (Å, degrees): 5.091 5.091 8.761 106.89 106.89 90.00
Positions (direct):
Sr (0.500, 0.500, 0.000)
Si (0.125, 0.875, 0.750)
Si (0.625, 0.875, 0.750)
Si (0.125, 0.375, 0.250)
Sr (0.750, 0.250, 0.500)
W (0.250, 0.750, 0.500)
Si (0.125, 0.875, 0.250)
W (0.000, 0.000, 0.000)

(9)
Compound: Sr2ZrSiW
Source: the Alexandria database
Functional: PBEsol
Structure: optimized geometry

As for the symmetry: P4/mmm, No. 123. The calculation puts the mass density at 4.70 g/cm³. The value obtained for the electronic total energy is -4.602 eV/atom. Its density of states at the Fermi level is 5.32 states/eV per cell.

Lattice parameters (Å, degrees): 4.920 5.860 5.860 90.00 90.00 90.00
Positions (direct):
W (0.500, 0.500, 0.500)
Si (0.500, 0.000, 0.000)
Zr (0.000, 0.000, 0.000)
Sr (0.000, 0.500, 0.000)
Sr (0.000, 0.000, 0.500)

(10)
Compound: Sr2YSi
Source: the Alexandria database
Functional: PBEsol
Structure: optimized geometry

As for the symmetry: R-3m, No. 166. The calculation puts the mass density at 3.55 g/cm³. The value obtained for the electronic total energy is -3.905 eV/atom. Its density of states at the Fermi level is 4.75 states/eV per cell.

Lattice parameters (Å, degrees): 3.772 3.772 11.314 80.40 80.40 60.00
Positions (direct):
Sr (0.734, 0.734, 0.799)
Y (0.500, 0.500, 0.500)
Sr (0.266, 0.266, 0.201)
Si (0.000, 0.000, 0.000)

(11)
Compound: Sr2YSi
Source: the Alexandria database
Functional: PBEsol
Structure: optimized geometry

As for the symmetry: Immm, No. 71. The calculation puts the mass density at 3.38 g/cm³. The value obtained for the electronic total energy is -4.240 eV/atom. Its density of states at the Fermi level is 4.24 states/eV per cell.

Lattice parameters (Å, degrees): 3.772 4.370 9.181 103.77 101.86 90.00
Positions (direct):
Y (0.500, 0.000, 0.000)
Sr (0.340, 0.340, 0.681)
Si (0.000, 0.500, 0.000)
Sr (0.660, 0.660, 0.319)

(12)
Compound: Sr2YSi
Source: the Alexandria database
Functional: PBEsol
Structure: optimized geometry

As for the symmetry: I4/mmm, No. 139. The calculation puts the mass density at 4.20 g/cm³. The value obtained for the electronic total energy is -4.038 eV/atom. Its density of states at the Fermi level is 3.51 states/eV per cell.

Lattice parameters (Å, degrees): 4.636 4.636 6.300 111.59 111.59 90.00
Positions (direct):
Sr (0.750, 0.250, 0.500)
Sr (0.250, 0.750, 0.500)
Si (0.000, 0.000, 0.000)
Y (0.500, 0.500, 0.000)

(13)
Compound: SrY4Si
Source: the Alexandria database
Functional: PBEsol
Structure: optimized geometry

As for the symmetry: F-43m, No. 216. The calculation puts the mass density at 4.23 g/cm³. The value obtained for the electronic total energy is -5.375 eV/atom. Its density of states at the Fermi level is 6.71 states/eV per cell.

Lattice parameters (Å, degrees): 6.398 6.398 6.398 60.00 60.00 60.00
Positions (direct):
Y (0.376, 0.872, 0.376)
Y (0.376, 0.376, 0.376)
Sr (0.000, 0.000, 0.000)
Y (0.872, 0.376, 0.376)
Y (0.376, 0.376, 0.872)
Si (0.750, 0.750, 0.750)

(14)
Compound: Sr2YSi
Source: the Alexandria database
Functional: PBEsol
Structure: optimized geometry

As for the symmetry: P4/mmm, No. 123. The calculation puts the mass density at 3.94 g/cm³. The value obtained for the electronic total energy is -3.994 eV/atom. Its density of states at the Fermi level is 4.34 states/eV per cell.

Lattice parameters (Å, degrees): 4.222 4.222 6.914 90.00 90.00 90.00
Positions (direct):
Sr (0.000, 0.000, 0.720)
Sr (0.000, 0.000, 0.280)
Y (0.500, 0.500, 0.000)
Si (0.500, 0.500, 0.500)

(15)
Compound: Sr2ZnSi
Source: the Alexandria database
Functional: PBEsol
Structure: optimized geometry

As for the symmetry: Fm-3m, No. 225. The calculation puts the mass density at 4.14 g/cm³. The value obtained for the electronic total energy is -3.031 eV/atom. Its density of states at the Fermi level is 0.48 states/eV per cell.

Lattice parameters (Å, degrees): 5.343 5.343 5.343 60.00 60.00 60.00
Positions (direct):
Zn (0.000, 0.000, 0.000)
Si (0.500, 0.500, 0.500)
Sr (0.750, 0.750, 0.750)
Sr (0.250, 0.250, 0.250)

(16)
Compound: SrZnSi
Source: the Alexandria database
Functional: PBEsol
Structure: optimized geometry

As for the symmetry: P-6m2, No. 187. The calculation puts the mass density at 4.31 g/cm³. The value obtained for the electronic total energy is -3.491 eV/atom. Its density of states at the Fermi level is 1.07 states/eV per cell.

Lattice parameters (Å, degrees): 4.193 4.193 4.585 90.00 90.00 120.00
Positions (direct):
Si (0.000, 0.000, 0.500)
Zn (0.667, 0.333, 0.500)
Sr (0.333, 0.667, 0.000)

(17)
Compound: SrZnSi
Source: the Alexandria database
Functional: PBEsol
Structure: optimized geometry

As for the symmetry: P6_3/mmc, No. 194. The calculation puts the mass density at 4.33 g/cm³. The value obtained for the electronic total energy is -3.510 eV/atom. Its density of states at the Fermi level is 1.39 states/eV per cell.

Lattice parameters (Å, degrees): 4.239 4.239 8.922 90.00 90.00 120.00
Positions (direct):
Sr (0.000, 0.000, 0.000)
Si (0.333, 0.667, 0.250)
Sr (0.000, 0.000, 0.500)
Zn (0.667, 0.333, 0.250)
Zn (0.333, 0.667, 0.750)
Si (0.667, 0.333, 0.750)

(18)
Compound: Sr4Zn3Si5
Source: the Alexandria database
Functional: PBEsol
Structure: optimized geometry

As for the symmetry: P-6m2, No. 187. The calculation puts the mass density at 4.15 g/cm³. The value obtained for the electronic total energy is -3.839 eV/atom. Its density of states at the Fermi level is 3.96 states/eV per cell.

Lattice parameters (Å, degrees): 4.198 4.198 18.031 90.00 90.00 120.00
Positions (direct):
Sr (0.667, 0.333, 0.874)
Si (0.333, 0.667, 0.251)
Sr (0.667, 0.333, 0.375)
Sr (0.667, 0.333, 0.625)
Si (0.000, 0.000, 0.000)
Si (0.333, 0.667, 0.000)
Si (0.333, 0.667, 0.749)
Sr (0.667, 0.333, 0.126)
Zn (0.333, 0.667, 0.500)
Zn (0.000, 0.000, 0.249)
Si (0.000, 0.000, 0.500)
Zn (0.000, 0.000, 0.751)

(19)
Compound: Sr2ZnSi
Source: the Alexandria database
Functional: PBEsol
Structure: optimized geometry

As for the symmetry: Amm2, No. 38. The calculation puts the mass density at 3.89 g/cm³. The value obtained for the electronic total energy is -3.076 eV/atom. Its density of states at the Fermi level is 2.47 states/eV per cell.

Lattice parameters (Å, degrees): 4.289 4.614 6.237 111.71 90.00 90.00
Positions (direct):
Sr (0.000, 0.111, 0.221)
Si (0.500, 0.689, 0.379)
Sr (0.500, 0.394, 0.788)
Zn (0.000, 0.802, 0.603)

(20)
Compound: SrZnSi
Source: the Alexandria database
Functional: PBEsol
Structure: optimized geometry

As for the symmetry: Fmm2, No. 42. The calculation puts the mass density at 4.59 g/cm³. The value obtained for the electronic total energy is -3.098 eV/atom. Its density of states at the Fermi level is 1.66 states/eV per cell.

Lattice parameters (Å, degrees): 3.425 3.425 6.088 106.37 106.37 89.90
Positions (direct):
Zn (0.633, 0.633, 0.267)
Si (0.033, 0.033, 0.066)
Sr (0.334, 0.334, 0.667)